## one
# PBE+U BaFePO2, relaxed
data_BaFePO2
_cell_length_a 4.249
_cell_length_b 4.249
_cell_length_c 4.610
_cell_angle_alpha 90.00
_cell_angle_beta 90.00
_cell_angle_gamma 90.00
_symmetry_space_group_name_H-M 'P 4/m m m'
_symmetry_Int_Tables_number 123
_symmetry_space_group_name_Hall '-P 4 2'
loop_
_atom_site_label
_atom_site_type_symbol
_atom_site_fract_x
_atom_site_fract_y
_atom_site_fract_z
Ba1 Ba 0.000 0.000 0.000
Fe1 Fe 0.500 0.500 0.500
P1 P 0.500 0.500 0.000
O1 O 0.000 0.500 0.500
# * size of the total moment: 3.51 μB per cell
# * crystal system: tetragonal

=====

## two
# PBE+U BaFePO2, relaxed
data_BaFePO2
_cell_length_a 4.413
_cell_length_b 4.413
_cell_length_c 6.617
_cell_angle_alpha 90.00
_cell_angle_beta 90.00
_cell_angle_gamma 90.00
_symmetry_space_group_name_H-M 'P 4/m m m'
_symmetry_Int_Tables_number 123
_symmetry_space_group_name_Hall '-P 4 2'
loop_
_atom_site_label
_atom_site_type_symbol
_atom_site_fract_x
_atom_site_fract_y
_atom_site_fract_z
Ba1 Ba 0.000 0.000 0.000
Fe1 Fe 0.500 0.500 0.500
P1 P 0.000 0.000 0.500
O1 O 0.000 0.500 0.000
# * size of the total moment: 5.26 μB per cell
# * crystal system: tetragonal

=====

Most stable to least stable: one, two

=====

## one
# PBE+U BaFeP2O, relaxed
data_BaFeP2O
_cell_length_a 5.002
_cell_length_b 5.002
_cell_length_c 4.029
_cell_angle_alpha 90.00
_cell_angle_beta 90.00
_cell_angle_gamma 90.00
_symmetry_space_group_name_H-M 'P 4/m m m'
_symmetry_Int_Tables_number 123
_symmetry_space_group_name_Hall '-P 4 2'
loop_
_atom_site_label
_atom_site_type_symbol
_atom_site_fract_x
_atom_site_fract_y
_atom_site_fract_z
Ba1 Ba 0.000 0.000 0.000
Fe1 Fe 0.500 0.500 0.500
P1 P 0.000 0.500 0.500
O1 O 0.500 0.500 0.000
# * size of the total moment: 2.23 μB per cell
# * crystal system: tetragonal

=====

## two
# PBE+U BaFeP2O, relaxed
data_BaFeP2O
_cell_length_a 5.881
_cell_length_b 5.881
_cell_length_c 4.378
_cell_angle_alpha 90.00
_cell_angle_beta 90.00
_cell_angle_gamma 90.00
_symmetry_space_group_name_H-M 'P 4/m m m'
_symmetry_Int_Tables_number 123
_symmetry_space_group_name_Hall '-P 4 2'
loop_
_atom_site_label
_atom_site_type_symbol
_atom_site_fract_x
_atom_site_fract_y
_atom_site_fract_z
Ba1 Ba 0.000 0.000 0.000
Fe1 Fe 0.500 0.500 0.500
P1 P 0.000 0.500 0.000
O1 O 0.000 0.000 0.500
# * size of the total moment: 1.80 μB per cell
# * crystal system: tetragonal

=====

Most stable to least stable: one, two